Here is a relaxed BeSeCl3 crystal from Alexandria via LeMat-Bulk. Energies are from PBE.

Calculated values
Final energy, eV per formula unit: -10.3
Space-group type: Pm-3m
N(E_F), states/eV/f.u.: 2.40
Formation energy (no corrections), eV per atom: 0.48

Unit cell a=5.096 b=5.096 c=5.096 alpha=90.00 beta=90.00 gamma=90.00
Element x y z (fractional)
Be 0.000 0.000 0.000
Se 0.500 0.500 0.500
Cl 0.000 0.500 0.500
Cl 0.500 0.000 0.500
Cl 0.500 0.500 0.000